Record 1
The following is a GGA-PBE calculation of RbInOF2 after structural relaxation, from Alexandria.

Properties
- VASP energy (eV per atom) = -3.1989
- Fermi-level density of states (states/eV/atom) = 1.4080
- magnetization (μB per cell) = 0.290
- E above lowest polymorph (eV per atom) = 1.490
- formation energy from raw total energies (eV/f.u.) = -3.59

Cell lengths 4.9697, 4.9697, 4.5422 Å; angles 90.00, 90.00, 90.00 degrees
Space group P4/mmm (No. 123)
One atom of each set of equivalent atoms:
Rb: 0.0000 0.0000 0.0000 [1 per cell]
In: 0.5000 0.5000 0.5000 [1 per cell]
O: 0.0000 0.0000 0.5000 [1 per cell]
F: 0.0000 0.5000 0.0000 [2 per cell]

---

Record 2
The following is a GGA-PBE calculation of Ca4CdIn after structural relaxation, from Alexandria.

Properties
- VASP energy (eV per atom) = -2.0969
- Fermi-level density of states (states/eV/atom) = 1.5743
- formation energy from the elements (eV/atom) = -0.154
- magnetization (μB per cell) = 0.029
- E above lowest polymorph (eV per atom) = 0.139

Cell lengths 5.4369, 5.4374, 7.5775 Å; angles 90.15, 90.06, 90.00 degrees
Space group P-1 (No. 2)
One atom of each set of equivalent atoms:
Ca: 0.0002 0.9999 0.2429 [2 per cell]
Ca: 0.5000 0.5005 0.2429 [2 per cell]
Cd: 0.0000 0.5000 0.5000 [1 per cell]
In: 0.5000 0.0000 0.0000 [1 per cell]

---

Record 3
The following is a GGA-PBE calculation of BeSbW after structural relaxation, from Alexandria.

Properties
- VASP energy (eV per atom) = -6.1779
- Fermi-level density of states (states/eV/atom) = 0.6570
- magnetization (μB per cell) = 0.000
- E above lowest polymorph (eV per atom) = 0.416
- formation energy from raw total energies (eV/f.u.) = 2.27

Cell lengths 3.7796, 4.4534, 13.4565 Å; angles 90.00, 90.00, 90.00 degrees
Space group Fmm2 (No. 42)
One atom of each set of equivalent atoms:
Be: 0.0000 0.0000 0.0000 [4 per cell]
Sb: 0.0000 0.0000 0.2707 [4 per cell]
W: 0.0000 0.0000 0.6082 [4 per cell]